Here is a PBEsol-optimized structure of Tl3Sb from Alexandria. Energies are from meta-GGA SCAN.

```
Tl3Sb
1.0
3.9532 0.0000 0.0000
0.0000 3.9532 0.0000
0.0000 0.0000 7.2761
Tl Sb
3 1
Direct
0.0000 0.0000 0.0000
0.5000 0.5000 0.2665
0.5000 0.5000 0.7335
0.0000 0.0000 0.5000
```

Summary:
- Spin magnetization: 0.00 μB per cell
- Uncorrected formation energy: 0.03 eV/atom
- Space-group type: P4/mmm

=====

Here is a PBEsol-optimized structure of TlSb from Alexandria. Energies are from meta-GGA SCAN.

```
TlSb
1.0
4.2842 0.0000 0.0000
0.0000 4.4902 0.0000
0.0000 0.0000 6.1727
Tl Sb
2 2
Direct
0.2500 0.2500 0.0927
0.7500 0.7500 0.9073
0.2500 0.7500 0.4943
0.7500 0.2500 0.5057
```

Summary:
- Spin magnetization: 0.00 μB per cell
- Uncorrected formation energy: 0.03 eV/atom
- Space-group type: Pmmn

=====

Here is a PBEsol-optimized structure of Tl3Sb from Alexandria. Energies are from meta-GGA SCAN.

```
Tl3Sb
1.0
7.6891 0.0000 0.0000
0.0000 7.6891 0.0000
0.0000 0.0000 7.6891
Tl Sb
12 4
Direct
0.0000 0.0000 0.0000
0.0000 0.5000 0.5000
0.2500 0.2500 0.2500
0.2500 0.2500 0.7500
0.2500 0.7500 0.2500
0.2500 0.7500 0.7500
0.5000 0.0000 0.5000
0.5000 0.5000 0.0000
0.7500 0.2500 0.2500
0.7500 0.2500 0.7500
0.7500 0.7500 0.2500
0.7500 0.7500 0.7500
0.0000 0.0000 0.5000
0.0000 0.5000 0.0000
0.5000 0.0000 0.0000
0.5000 0.5000 0.5000
```

Summary:
- Spin magnetization: 0.00 μB per cell
- Uncorrected formation energy: 0.02 eV/atom
- Space-group type: Fm-3m

=====

Here is a PBEsol-optimized structure of TlSb from Alexandria. Energies are from meta-GGA SCAN.

```
TlSb
1.0
13.0081 0.0000 0.0000
0.0000 3.2429 0.0000
-2.8112 0.0000 5.4236
Tl Sb
4 4
Direct
0.1298 0.0000 0.0124
0.3702 0.5000 0.9876
0.6298 0.5000 0.0124
0.8702 0.0000 0.9876
0.1107 0.5000 0.4949
0.3893 0.0000 0.5051
0.6107 0.0000 0.4949
0.8893 0.5000 0.5051
```

Summary:
- Spin magnetization: 0.00 μB per cell
- Uncorrected formation energy: 0.07 eV/atom
- Space-group type: C2/m

=====

Here is a PBEsol-optimized structure of TlSb from Alexandria. Energies are from meta-GGA SCAN.

```
TlSb
1.0
11.8417 0.0000 0.0000
0.0000 3.9812 0.0000
-2.3769 0.0000 4.9196
Tl Sb
4 4
Direct
0.1156 0.0000 0.3655
0.3844 0.5000 0.6345
0.6156 0.5000 0.3655
0.8844 0.0000 0.6345
0.1511 0.5000 0.9006
0.3489 0.0000 0.0994
0.6511 0.0000 0.9006
0.8489 0.5000 0.0994
```

Summary:
- Spin magnetization: 0.00 μB per cell
- Uncorrected formation energy: 0.05 eV/atom
- Space-group type: C2/m

=====

Here is a PBEsol-optimized structure of Tl3Sb from Alexandria. Energies are from meta-GGA SCAN.

```
Tl3Sb
1.0
6.1501 0.0000 0.0000
0.0000 6.1501 0.0000
0.0000 0.0000 6.1501
Tl Sb
6 2
Direct
0.0000 0.2500 0.5000
0.0000 0.7500 0.5000
0.2500 0.5000 0.0000
0.5000 0.0000 0.2500
0.5000 0.0000 0.7500
0.7500 0.5000 0.0000
0.0000 0.0000 0.0000
0.5000 0.5000 0.5000
```

Summary:
- Spin magnetization: 0.00 μB per cell
- Uncorrected formation energy: 0.03 eV/atom
- Space-group type: Pm-3n

=====

no.,total DFT energy (no corrections) (hartree per atom),density (g cm⁻³)
1,-2.33571,10.73
2,-2.01303,9.12
3,-2.33579,10.74
4,-2.01148,9.47
5,-2.01234,9.34
6,-2.33558,10.49